No. 1
Entry from Alexandria: MgZn2Re after structural relaxation (GGA-PBE).

Cell: 3.8754 3.8754 18.3094 Å, 90.00 90.00 90.00°
Space group I-42d (No. 122)
Unique sites:
Mg: 0.0000 0.0000 0.0000 (multiplicity 4)
Zn: 0.2150 0.2500 0.6250 (multiplicity 8)
Re: 0.0000 0.0000 0.5000 (multiplicity 4)

Theoretical density in g/cm³: 8.2
Calculated formation energy in eV/atom: 0.6472
E_tot in eV/atom: -3.500

---

No. 2
Entry from Alexandria: MgZn2Re after structural relaxation (GGA-PBE).

Cell: 3.9090 3.9090 7.9065 Å, 90.00 90.00 90.00°
Space group I4/mmm (No. 139)
Unique sites:
Mg: 0.0000 0.0000 0.0000 (multiplicity 2)
Zn: 0.0000 0.5000 0.2500 (multiplicity 4)
Re: 0.0000 0.0000 0.5000 (multiplicity 2)

Theoretical density in g/cm³: 9.4
Calculated formation energy in eV/atom: 0.2760
E_tot in eV/atom: -3.872

---

Number 1: V 17.2 A^3/atom. Number 2: V 15.1 A^3/atom.